Density functional theory data (GGA-PBE) for crystalline TbNd2Se3 at its relaxed geometry.

a b c (Å): 4.1205 4.1205 21.2425
angles (deg): 90.00 90.00 120.00
Last column: nearest neighbours and their distance in Å.
Fractional positions:
Tb 0.0000 0.0000 0.2500  6 Se 2.94
Tb 0.0000 0.0000 0.7500  6 Se 2.94
Nd 0.3333 0.6667 0.0833  6 Se 2.97-2.99
Nd 0.3333 0.6667 0.4167  6 Se 2.97-2.99
Nd 0.6667 0.3333 0.5833  6 Se 2.97-2.99
Nd 0.6667 0.3333 0.9167  6 Se 2.97-2.99
Se 0.0000 0.0000 0.0000  6 Nd 2.97
Se 0.0000 0.0000 0.5000  6 Nd 2.97
Se 0.3333 0.6667 0.6689  3 Tb 2.94, 3 Nd 2.99
Se 0.3333 0.6667 0.8311  3 Tb 2.94, 3 Nd 2.99
Se 0.6667 0.3333 0.1689  3 Tb 2.94, 3 Nd 2.99
Se 0.6667 0.3333 0.3311  3 Tb 2.94, 3 Nd 2.99

The value obtained for the total energy is -5.899 eV/atom. Its space group is P6_3/mmc. The value obtained for the calculated volume is 312.3 Å³/cell. Its energy relative to the elements, uncorrected is -1.80 eV/atom.